Run one
MoBr2Cl | GGA-PBE | relaxed

Space-group type = R-3m (166)
Total magnetization = 0.57 Bohr magnetons per cell
Calculated volume = 25.3 Å³/atom
Mass density = 4.8 g/cm³

a b c (Å): 11.838 11.838 11.838
angles (deg): 15.33 15.33 15.33
Element x y z (fractional)
1 Mo 0.000 0.000 0.000
2 Br 0.068 0.068 0.068
3 Br 0.932 0.932 0.932
4 Cl 0.500 0.500 0.500

Run two
MoBr2Cl | GGA-PBE | relaxed

Space-group type = P4/mmm (123)
Total magnetization = 0.00 Bohr magnetons per cell
Calculated volume = 20.9 Å³/atom
Mass density = 5.8 g/cm³

a b c (Å): 3.167 3.167 8.329
angles (deg): 90.00 90.00 90.00
Element x y z (fractional)
1 Mo 0.000 0.000 0.000
2 Br 0.500 0.500 0.191
3 Br 0.500 0.500 0.809
4 Cl 0.000 0.000 0.500

How do the energies compare? Relative to the most stable structure, in meV per atom: run one 288; run two 0.

Run one
MoBrCl4 | GGA-PBE | relaxed

Space-group type = F-43m (216)
Total magnetization = 4.49 Bohr magnetons per cell
Calculated volume = 22.6 Å³/atom
Mass density = 3.9 g/cm³

a b c (Å): 5.769 5.769 5.769
angles (deg): 60.00 60.00 60.00
Element x y z (fractional)
1 Mo 0.000 0.000 0.000
2 Br 0.750 0.750 0.750
3 Cl 0.374 0.374 0.374
4 Cl 0.374 0.374 0.877
5 Cl 0.374 0.877 0.374
6 Cl 0.877 0.374 0.374

Run two
MoBrCl4 | GGA-PBE | relaxed

Space-group type = I-4 (82)
Total magnetization = 0.99 Bohr magnetons per cell
Calculated volume = 42.3 Å³/atom
Mass density = 2.1 g/cm³

a b c (Å): 7.169 7.169 7.169
angles (deg): 121.61 121.61 87.23
Element x y z (fractional)
1 Mo 0.000 0.000 0.000
2 Br 0.250 0.750 0.500
3 Cl 0.359 0.225 0.343
4 Cl 0.775 0.118 0.135
5 Cl 0.882 0.016 0.657
6 Cl 0.984 0.641 0.865

How do the energies compare? Relative to the most stable structure, in meV per atom: run one 1443; run two 0.